## ZnTePt2 (GGA-PBE)

Data for a geometry-optimized ZnTePt2 structure.

Cell: 3.1973 3.1973 24.4690 Å, 90.00 90.00 120.00°
Space group R-3m (No. 166, hexagonal axes)
Inequivalent atoms, fractional coordinates:
Zn  0.0000  0.0000  0.0000 [3 per cell]
Te  0.0000  0.0000  0.5000 [3 per cell]
Pt  0.0000  0.0000  0.2560 [6 per cell]

ΔE to the lowest computed polymorph = 148 meV per atom

***

## ZnTePt2 (GGA-PBE)

Data for a geometry-optimized ZnTePt2 structure.

Cell: 7.8088 2.9964 6.3582 Å, 90.00 98.84 90.00°
Space group C2/m (No. 12)
Inequivalent atoms, fractional coordinates:
Zn  0.0000  0.0000  0.0000 [2 per cell]
Te  0.0000  0.5000  0.5000 [2 per cell]
Pt  0.2373  0.5000  0.2055 [4 per cell]

ΔE to the lowest computed polymorph = 33 meV per atom

***

## ZnTePt2 (GGA-PBE)

Data for a geometry-optimized ZnTePt2 structure.

Cell: 3.1338 3.9978 12.1782 Å, 90.00 90.00 90.00°
Space group Imm2 (No. 44)
Inequivalent atoms, fractional coordinates:
Zn  0.0000  0.0000  0.0000 [2 per cell]
Te  0.0000  0.5000  0.2442 [2 per cell]
Pt  0.0000  0.0000  0.5577 [2 per cell]
Pt  0.0000  0.5000  0.8606 [2 per cell]

ΔE to the lowest computed polymorph = 21 meV per atom

***

## ZnTePt2 (GGA-PBE)

Data for a geometry-optimized ZnTePt2 structure.

Cell: 4.1899 4.1899 17.3725 Å, 90.00 90.00 90.00°
Space group I-42d (No. 122)
Inequivalent atoms, fractional coordinates:
Zn  0.0000  0.0000  0.0000 [4 per cell]
Te  0.0000  0.0000  0.5000 [4 per cell]
Pt  0.2452  0.2500  0.1250 [8 per cell]

ΔE to the lowest computed polymorph = 83 meV per atom

***

## ZnTePt (GGA-PBE)

Data for a geometry-optimized ZnTePt structure.

Cell: 3.7689 3.7689 10.3650 Å, 90.00 90.00 120.00°
Space group P-6m2 (No. 187)
Inequivalent atoms, fractional coordinates:
Zn  0.0000  0.0000  0.1337 [2 per cell]
Te  0.6667  0.3333  0.3353 [2 per cell]
Pt  0.3333  0.6667  0.0000 [1 per cell]
Pt  0.3333  0.6667  0.5000 [1 per cell]

ΔE to the lowest computed polymorph = 244 meV per atom

***

## ZnTePt2 (GGA-PBE)

Data for a geometry-optimized ZnTePt2 structure.

Cell: 6.5523 6.5523 6.5523 Å, 90.00 90.00 90.00°
Space group Fm-3m (No. 225)
Inequivalent atoms, fractional coordinates:
Zn  0.0000  0.0000  0.0000 [4 per cell]
Te  0.0000  0.0000  0.5000 [4 per cell]
Pt  0.2500  0.2500  0.2500 [8 per cell]

ΔE to the lowest computed polymorph = 164 meV per atom

***

## ZrTe3Pt (GGA-PBE)

Data for a geometry-optimized ZrTe3Pt structure.

Cell: 5.4952 5.4952 5.4952 Å, 90.00 90.00 90.00°
Space group Pm-3m (No. 221)
Inequivalent atoms, fractional coordinates:
Zr  0.0000  0.0000  0.0000 [1 per cell]
Te  0.0000  0.0000  0.5000 [3 per cell]
Pt  0.5000  0.5000  0.5000 [1 per cell]

ΔE to the lowest computed polymorph = 1116 meV per atom

***

## Zr2TePt (GGA-PBE)

Data for a geometry-optimized Zr2TePt structure.

Cell: 3.7269 3.7269 6.1956 Å, 90.00 90.00 90.00°
Space group P4mm (No. 99)
Inequivalent atoms, fractional coordinates:
Zr  0.0000  0.0000  0.0000 [1 per cell]
Zr  0.5000  0.5000  0.3095 [1 per cell]
Te  0.5000  0.5000  0.7979 [1 per cell]
Pt  0.0000  0.0000  0.4840 [1 per cell]

***

## Zr2TePt (GGA-PBE)

Data for a geometry-optimized Zr2TePt structure.

Cell: 3.6345 3.6345 25.0063 Å, 90.00 90.00 120.00°
Space group R3m (No. 160, hexagonal axes)
Inequivalent atoms, fractional coordinates:
Zr  0.0000  0.0000  0.0000 [3 per cell]
Zr  0.0000  0.0000  0.2332 [3 per cell]
Te  0.0000  0.0000  0.4869 [3 per cell]
Pt  0.0000  0.0000  0.7319 [3 per cell]

***

## ZrTePt3 (GGA-PBE)

Data for a geometry-optimized ZrTePt3 structure.

Cell: 4.9051 4.9051 4.9051 Å, 90.00 90.00 90.00°
Space group Pm-3m (No. 221)
Inequivalent atoms, fractional coordinates:
Zr  0.0000  0.0000  0.0000 [1 per cell]
Te  0.5000  0.5000  0.5000 [1 per cell]
Pt  0.0000  0.5000  0.5000 [3 per cell]

ΔE to the lowest computed polymorph = 0 meV per atom

***

## Zr2TePt (GGA-PBE)

Data for a geometry-optimized Zr2TePt structure.

Cell: 3.6001 4.5194 5.1321 Å, 90.00 90.00 90.00°
Space group Pmmm (No. 47)
Inequivalent atoms, fractional coordinates:
Zr  0.0000  0.0000  0.0000 [1 per cell]
Zr  0.0000  0.5000  0.5000 [1 per cell]
Te  0.5000  0.0000  0.5000 [1 per cell]
Pt  0.5000  0.5000  0.0000 [1 per cell]

***

## Zr2TePt (GGA-PBE)

Data for a geometry-optimized Zr2TePt structure.

Cell: 6.9350 6.9350 6.9350 Å, 90.00 90.00 90.00°
Space group F-43m (No. 216)
Inequivalent atoms, fractional coordinates:
Zr  0.0000  0.0000  0.0000 [4 per cell]
Zr  0.2500  0.2500  0.2500 [4 per cell]
Te  0.0000  0.0000  0.5000 [4 per cell]
Pt  0.2500  0.2500  0.7500 [4 per cell]

***

## Zr2TePt (GGA-PBE)

Data for a geometry-optimized Zr2TePt structure.

Cell: 3.9105 3.9105 21.3323 Å, 90.00 90.00 120.00°
Space group R-3m (No. 166, hexagonal axes)
Inequivalent atoms, fractional coordinates:
Zr  0.0000  0.0000  0.2368 [6 per cell]
Te  0.0000  0.0000  0.0000 [3 per cell]
Pt  0.0000  0.0000  0.5000 [3 per cell]

***

## Zr2TePt (GGA-PBE)

Data for a geometry-optimized Zr2TePt structure.

Cell: 4.2304 5.0213 7.8622 Å, 90.00 90.00 90.00°
Space group Immm (No. 71)
Inequivalent atoms, fractional coordinates:
Zr  0.0000  0.0000  0.2460 [4 per cell]
Te  0.0000  0.5000  0.0000 [2 per cell]
Pt  0.0000  0.5000  0.5000 [2 per cell]

***

## ZrTePt3 (GGA-PBE)

Data for a geometry-optimized ZrTePt3 structure.

Cell: 4.9889 4.9889 4.9889 Å, 90.00 90.00 90.00°
Space group Pm-3m (No. 221)
Inequivalent atoms, fractional coordinates:
Zr  0.0000  0.0000  0.0000 [1 per cell]
Te  0.5000  0.5000  0.5000 [1 per cell]
Pt  0.0000  0.0000  0.5000 [3 per cell]

ΔE to the lowest computed polymorph = 178 meV per atom

***

## ZrTe3Pt (GGA-PBE)

Data for a geometry-optimized ZrTe3Pt structure.

Cell: 5.2399 5.2399 5.2399 Å, 90.00 90.00 90.00°
Space group Pm-3m (No. 221)
Inequivalent atoms, fractional coordinates:
Zr  0.0000  0.0000  0.0000 [1 per cell]
Te  0.0000  0.5000  0.5000 [3 per cell]
Pt  0.5000  0.5000  0.5000 [1 per cell]

ΔE to the lowest computed polymorph = 888 meV per atom

***

## Zr2TePt (GGA-PBE)

Data for a geometry-optimized Zr2TePt structure.

Cell: 3.5649 3.5649 6.5859 Å, 90.00 90.00 90.00°
Space group P4/mmm (No. 123)
Inequivalent atoms, fractional coordinates:
Zr  0.0000  0.0000  0.2329 [2 per cell]
Te  0.5000  0.5000  0.5000 [1 per cell]
Pt  0.5000  0.5000  0.0000 [1 per cell]

***

## ZrTe3Pt (GGA-PBE)

Data for a geometry-optimized ZrTe3Pt structure.

Cell: 3.9198 24.2926 6.5931 Å, 90.00 90.00 90.00°
Space group Ama2 (No. 40)
Inequivalent atoms, fractional coordinates:
Zr  0.2500  0.1669  0.0000 [4 per cell]
Te  0.2500  0.0625  0.2151 [4 per cell]
Te  0.2500  0.2642  0.7098 [4 per cell]
Te  0.2500  0.3763  0.2188 [4 per cell]
Pt  0.2500  0.3699  0.8142 [4 per cell]

ΔE to the lowest computed polymorph = 0 meV per atom

***

## ZrTe2Pt2 (GGA-PBE)

Data for a geometry-optimized ZrTe2Pt2 structure.

Cell: 3.8133 3.8133 14.8908 Å, 90.00 90.00 90.00°
Space group I4/mmm (No. 139)
Inequivalent atoms, fractional coordinates:
Zr  0.0000  0.0000  0.0000 [2 per cell]
Te  0.0000  0.0000  0.3917 [4 per cell]
Pt  0.0000  0.5000  0.2500 [4 per cell]

***

## Zr2TePt (GGA-PBE)

Data for a geometry-optimized Zr2TePt structure.

Cell: 4.0415 3.6896 11.4702 Å, 90.00 90.00 90.00°
Space group Amm2 (No. 38)
Inequivalent atoms, fractional coordinates:
Zr  0.0000  0.0000  0.0000 [2 per cell]
Zr  0.5000  0.0000  0.3334 [2 per cell]
Te  0.5000  0.0000  0.5938 [2 per cell]
Pt  0.0000  0.0000  0.7545 [2 per cell]

***

Number 1: formation energy (no corrections) -0.0603 eV per atom. Number 2: formation energy (no corrections) -0.1752 eV per atom. Number 3: formation energy (no corrections) -0.1877 eV per atom. Number 4: formation energy (no corrections) -0.1250 eV per atom. Number 5: formation energy (no corrections) -0.0638 eV per atom. Number 6: formation energy (no corrections) -0.0443 eV per atom. Number 7: formation energy (no corrections) 0.5407 eV per atom. Number 8: formation energy (no corrections) -0.7263 eV per atom. Number 9: formation energy (no corrections) -0.3534 eV per atom. Number 10: formation energy (no corrections) 0.5205 eV per atom. Number 11: formation energy (no corrections) -0.6561 eV per atom. Number 12: formation energy (no corrections) -0.1099 eV per atom. Number 13: formation energy (no corrections) -0.8020 eV per atom. Number 14: formation energy (no corrections) -0.6552 eV per atom. Number 15: formation energy (no corrections) 0.6984 eV per atom. Number 16: formation energy (no corrections) 0.3129 eV per atom. Number 17: formation energy (no corrections) -0.6762 eV per atom. Number 18: formation energy (no corrections) -0.5753 eV per atom. Number 19: formation energy (no corrections) -0.1984 eV per atom. Number 20: formation energy (no corrections) -0.7445 eV per atom.